(1)
Crystalline ErAg2Sn3Te6 at its relaxed geometry. Source: Alexandria, functional PBE-GGA.

Output
Magnetic moment: 0.00 Bohr magnetons per cell
Symmetry: C2/m, No. 12
ΔE_f (raw): -0.409 eV per atom
Uncorrected energy: -0.141 Ha/atom

Lattice parameters (Å, degrees): 7.6067 7.6067 7.6602 99.53 99.53 120.10
Sites, in units of the cell vectors:
Er 0.0000 0.0000 0.0000
Ag 0.3285 0.6715 0.0000
Ag 0.6715 0.3285 0.0000
Sn 0.1592 0.8408 0.5000
Sn 0.8408 0.1592 0.5000
Sn 0.5000 0.5000 0.5000
Te 0.9201 0.5873 0.7630
Te 0.7443 0.7443 0.2379
Te 0.0799 0.4127 0.2370
Te 0.5873 0.9201 0.7630
Te 0.2557 0.2557 0.7621
Te 0.4127 0.0799 0.2370

=====

(2)
Crystalline Sn2ClO at its relaxed geometry. Source: Alexandria, functional PBE-GGA.

Output
Magnetic moment: 0.00 Bohr magnetons per cell
Symmetry: Fm-3m, No. 225
ΔE_f (raw): -0.179 eV per atom
Energy above the lowest structure with this stoichiometry: 482 meV per atom
Uncorrected energy: -0.143 Ha/atom

Lattice parameters (Å, degrees): 4.8533 4.8533 4.8533 60.00 60.00 60.00
Sites, in units of the cell vectors:
Sn 0.2500 0.2500 0.2500
Sn 0.7500 0.7500 0.7500
O 0.0000 0.0000 0.0000
Cl 0.5000 0.5000 0.5000

=====

(3)
Crystalline LaTh2NpP4 at its relaxed geometry. Source: Alexandria, functional PBE-GGA.

Output
Magnetic moment: 4.13 Bohr magnetons per cell
Symmetry: I-4m2, No. 119
Energy of formation from the pure elements: -1.370 eV/atom
Uncorrected energy: -0.300 Ha/atom

Lattice parameters (Å, degrees): 5.8494 5.8494 7.1659 114.09 114.09 90.00
Sites, in units of the cell vectors:
La 0.5000 0.5000 0.0000
Th 0.2500 0.7500 0.5000
Th 0.0000 0.0000 0.0000
Np 0.7500 0.2500 0.5000
P 0.9962 0.4962 0.9924
P 0.5038 0.0038 0.0076
P 0.7529 0.7529 0.5059
P 0.2471 0.2471 0.4941

=====

(4)
Crystalline Zr4CdFe at its relaxed geometry. Source: Alexandria, functional PBE-GGA.

Output
Magnetic moment: 2.59 Bohr magnetons per cell
Symmetry: F-43m, No. 216
Energy of formation from the pure elements: 0.504 eV/atom
Energy above the lowest structure with this stoichiometry: 380 meV per atom
Uncorrected energy: -0.248 Ha/atom

Lattice parameters (Å, degrees): 5.7086 5.7086 5.7086 60.00 60.00 60.00
Sites, in units of the cell vectors:
Zr 0.8770 0.3743 0.3743
Zr 0.3743 0.3743 0.8770
Zr 0.3743 0.8770 0.3743
Zr 0.3743 0.3743 0.3743
Cd 0.7500 0.7500 0.7500
Fe 0.0000 0.0000 0.0000

=====

(5)
Crystalline Hf4TePb at its relaxed geometry. Source: Alexandria, functional PBE-GGA.

Output
Magnetic moment: 0.00 Bohr magnetons per cell
Symmetry: Cmcm, No. 63
ΔE_f (raw): -0.016 eV per atom
Uncorrected energy: -0.286 Ha/atom

Lattice parameters (Å, degrees): 5.1745 6.0019 10.2126 90.00 104.68 90.00
Sites, in units of the cell vectors:
Hf 0.8496 0.3220 0.6992
Hf 0.1504 0.8220 0.3008
Hf 0.4290 0.8225 0.8579
Hf 0.5710 0.3225 0.1421
Hf 0.7079 0.5728 0.4159
Hf 0.2921 0.0728 0.5841
Hf 0.7079 0.0717 0.4159
Hf 0.2921 0.5717 0.5841
Te 0.5744 0.8224 0.1488
Te 0.4256 0.3224 0.8512
Pb 0.8531 0.8220 0.7062
Pb 0.1469 0.3220 0.2938

=====

(6)
Crystalline LiInCuIr at its relaxed geometry. Source: Alexandria, functional PBE-GGA.

Output
Magnetic moment: 0.00 Bohr magnetons per cell
Symmetry: F-43m, No. 216
Energy of formation from the pure elements: -0.171 eV/atom
Uncorrected energy: -0.168 Ha/atom

Lattice parameters (Å, degrees): 4.4183 4.4183 4.4183 60.00 60.00 60.00
Sites, in units of the cell vectors:
Ir 0.0000 0.0000 0.0000
Li 0.5000 0.5000 0.5000
Cu 0.2500 0.2500 0.2500
In 0.7500 0.7500 0.7500

=====

(7)
Crystalline TaAl2Pt at its relaxed geometry. Source: Alexandria, functional PBE-GGA.

Output
Magnetic moment: 1.06 Bohr magnetons per cell
Symmetry: F-43m, No. 216
Energy of formation from the pure elements: -0.217 eV/atom
Uncorrected energy: -0.241 Ha/atom

Lattice parameters (Å, degrees): 4.5209 4.5209 4.5209 60.00 60.00 60.00
Sites, in units of the cell vectors:
Al 0.0000 0.0000 0.0000
Al 0.2500 0.2500 0.2500
Pt 0.5000 0.5000 0.5000
Ta 0.7500 0.7500 0.7500

=====

(8)
Crystalline Cs3Tl2Pb5 at its relaxed geometry. Source: Alexandria, functional PBE-GGA.

Output
Magnetic moment: 0.00 Bohr magnetons per cell
Symmetry: Ibam, No. 72
Energy of formation from the pure elements: -0.064 eV/atom
Uncorrected energy: -0.097 Ha/atom

Lattice parameters (Å, degrees): 7.7678 11.3401 11.3401 72.35 69.97 69.97
Sites, in units of the cell vectors:
Cs 0.2500 0.0000 0.0000
Cs 0.7500 0.0000 0.0000
Cs 0.3738 0.3887 0.8638
Cs 0.6262 0.6113 0.1362
Cs 0.8738 0.8638 0.3887
Cs 0.1262 0.1362 0.6113
Tl 0.1564 0.7114 0.9758
Tl 0.8436 0.2886 0.0242
Tl 0.6564 0.9758 0.7114
Tl 0.3436 0.0242 0.2886
Pb 0.2500 0.5000 0.5000
Pb 0.7500 0.5000 0.5000
Pb 0.5156 0.7344 0.7344
Pb 0.9844 0.2656 0.2656
Pb 0.4844 0.2656 0.2656
Pb 0.0156 0.7344 0.7344
Pb 0.1173 0.5156 0.2499
Pb 0.8827 0.4844 0.7501
Pb 0.6173 0.2499 0.5156
Pb 0.3827 0.7501 0.4844

=====

(9)
Crystalline La8Pr2Y at its relaxed geometry. Source: Alexandria, functional PBE-GGA.

Output
Magnetic moment: 0.00 Bohr magnetons per cell
Symmetry: C2/m, No. 12
Energy of formation from the pure elements: 0.115 eV/atom
Energy above the lowest structure with this stoichiometry: 18 meV per atom
Uncorrected energy: -0.181 Ha/atom

Lattice parameters (Å, degrees): 6.1379 9.3491 9.7142 61.24 74.19 55.52
Sites, in units of the cell vectors:
La 0.8156 0.0964 0.2349
La 0.8156 0.3313 0.7651
La 0.2996 0.4216 0.0000
La 0.5000 0.7948 0.4105
La 0.5000 0.2052 0.5895
La 0.7004 0.5784 0.0000
La 0.1844 0.6687 0.2349
La 0.1844 0.9036 0.7651
Pr 0.0000 0.3097 0.3806
Pr 0.0000 0.6903 0.6194
Y 0.5000 0.0000 0.0000

=====

(10)
Crystalline BaAc2Ru at its relaxed geometry. Source: Alexandria, functional PBE-GGA.

Output
Magnetic moment: 0.00 Bohr magnetons per cell
Symmetry: P4/mmm, No. 123
Energy of formation from the pure elements: 0.025 eV/atom
Energy above the lowest structure with this stoichiometry: 145 meV per atom
Uncorrected energy: -0.177 Ha/atom

Lattice parameters (Å, degrees): 3.7762 3.7762 10.8199 90.00 90.00 90.00
Sites, in units of the cell vectors:
Ru 0.5000 0.5000 0.0000
Ac 0.0000 0.0000 0.8378
Ac 0.0000 0.0000 0.1622
Ba 0.5000 0.5000 0.5000

=====

(11)
Crystalline K2MnInI6 at its relaxed geometry. Source: Alexandria, functional PBE-GGA.

Output
Magnetic moment: 4.25 Bohr magnetons per cell
Symmetry: R-3, No. 148
ΔE_f (raw): -0.820 eV per atom
Uncorrected energy: -0.116 Ha/atom

Lattice parameters (Å, degrees): 8.3689 8.3685 8.3244 59.82 59.82 59.99
Sites, in units of the cell vectors:
K 0.5398 0.5396 0.3810
K 0.0924 0.0925 0.7227
Mn 0.3161 0.3161 0.0515
In 0.8161 0.8163 0.5515
I 0.5500 0.1581 0.2929
I 0.1580 0.9990 0.2930
I 0.9990 0.5502 0.2929
I 0.4746 0.6333 0.8098
I 0.6334 0.0821 0.8100
I 0.0822 0.4745 0.8099

=====

(12)
Crystalline Nd4Y8Er3 at its relaxed geometry. Source: Alexandria, functional PBE-GGA.

Output
Magnetic moment: 0.78 Bohr magnetons per cell
Symmetry: C2/m, No. 12
Energy of formation from the pure elements: 0.367 eV/atom
Energy above the lowest structure with this stoichiometry: 243 meV per atom
Uncorrected energy: -0.193 Ha/atom

Lattice parameters (Å, degrees): 6.7845 9.3414 9.3414 87.16 111.40 111.40
Sites, in units of the cell vectors:
Nd 0.5000 0.0000 0.0000
Nd 0.0000 0.5000 0.0000
Nd 0.0000 0.0000 0.0000
Nd 0.0000 0.0000 0.5000
Y 0.5186 0.2663 0.2663
Y 0.0000 0.6400 0.3600
Y 0.0032 0.2706 0.2706
Y 0.5000 0.7459 0.2541
Y 0.5000 0.2541 0.7459
Y 0.9968 0.7294 0.7294
Y 0.0000 0.3600 0.6400
Y 0.4814 0.7337 0.7337
Er 0.5000 0.5000 0.0000
Er 0.5000 0.0000 0.5000
Er 0.5000 0.5000 0.5000

=====

Question: Among the records above, which one has the highest uncorrected energy?
Answer: Cs3Tl2Pb5

=====

Question: The highest uncorrected energy belongs to which entry?
Answer: Cs3Tl2Pb5